(1)
{
  "formula": "Na3U2MnS6",
  "functional": "PBE",
  "state": "relaxed",
  "lattice": [[3.3789, -5.8555, 0.0000], [3.3789, 5.8555, 0.0000], [-2.2496, 0.0000, 6.7106]],
  "species": ["Na", "Na", "Na", "U", "U", "Mn", "S", "S", "S", "S", "S", "S"],
  "frac_coords": [[0.0000, 0.0000, 0.0000], [0.3346, 0.6654, 0.0000], [0.6654, 0.3346, 0.0000], [0.1668, 0.8332, 0.5000], [0.8332, 0.1668, 0.5000], [0.5000, 0.5000, 0.5000], [0.1021, 0.4252, 0.2755], [0.2515, 0.2515, 0.7229], [0.4252, 0.1021, 0.2755], [0.5748, 0.8979, 0.7245], [0.7485, 0.7485, 0.2771], [0.8979, 0.5748, 0.7245]],
  "e_form_raw_ev_per_fu": -14.6,
  "dos_at_fermi_per_ev_atom": 0.54,
  "sg": "C2/m (12)"
}

=====

(2)
{
  "formula": "Nd4Pt2Br5",
  "functional": "PBE",
  "state": "relaxed",
  "lattice": [[13.9166, -4.2150, 0.0000], [13.9166, 4.2150, 0.0000], [-0.5670, 0.0000, 3.9440]],
  "species": ["Nd", "Nd", "Nd", "Nd", "Pt", "Pt", "Br", "Br", "Br", "Br", "Br"],
  "frac_coords": [[0.1504, 0.1504, 0.6485], [0.2043, 0.7957, 0.0000], [0.7957, 0.2043, 0.0000], [0.8496, 0.8496, 0.3515], [0.0499, 0.0499, 0.5496], [0.9501, 0.9501, 0.4504], [0.0555, 0.5871, 0.8234], [0.4129, 0.9445, 0.1766], [0.5000, 0.5000, 0.5000], [0.5871, 0.0555, 0.8234], [0.9445, 0.4129, 0.1766]],
  "e_form_raw_ev_per_fu": -15.1,
  "dos_at_fermi_per_ev_atom": 0.72,
  "sg": "C2/m (12)"
}

=====

(3)
{
  "formula": "Sn2BIBr",
  "functional": "PBE",
  "state": "relaxed",
  "lattice": [[5.5463, 0.0000, 0.0000], [0.0000, 5.5463, 0.0000], [0.0000, 0.0000, 6.9394]],
  "species": ["Sn", "Sn", "B", "I", "Br"],
  "frac_coords": [[0.0000, 0.5000, 0.0000], [0.5000, 0.0000, 0.0000], [0.0000, 0.0000, 0.5000], [0.5000, 0.5000, 0.5000], [0.5000, 0.5000, 0.0000]],
  "e_form_raw_ev_per_fu": 7.1,
  "dos_at_fermi_per_ev_atom": 0.75,
  "sg": "P4/mmm (123)"
}

=====

(4)
{
  "formula": "BaLiAsSe2",
  "functional": "PBE",
  "state": "relaxed",
  "lattice": [[5.1479, 0.0000, 0.0000], [0.0000, 5.1479, 0.0000], [0.0000, 0.0000, 4.6518]],
  "species": ["Ba", "Li", "As", "Se", "Se"],
  "frac_coords": [[0.0000, 0.0000, 0.0000], [0.5000, 0.5000, 0.5000], [0.5000, 0.5000, 0.0000], [0.0000, 0.5000, 0.5000], [0.5000, 0.0000, 0.5000]],
  "e_form_raw_ev_per_fu": -3.4,
  "dos_at_fermi_per_ev_atom": 0.87,
  "sg": "P4/mmm (123)",
  "relative_energy_mev_per_atom": 0.0
}

=====

(5)
{
  "formula": "CeAsH",
  "functional": "PBE",
  "state": "relaxed",
  "lattice": [[4.1550, 0.0000, 0.0000], [-2.0775, 3.5983, 0.0000], [0.0000, 0.0000, 6.9069]],
  "species": ["Ce", "Ce", "As", "As", "H", "H"],
  "frac_coords": [[0.0000, 0.0000, 0.0000], [0.3333, 0.6667, 0.5000], [0.6667, 0.3333, 0.2629], [0.6667, 0.3333, 0.7371], [0.3333, 0.6667, 0.1340], [0.3333, 0.6667, 0.8660]],
  "dos_at_fermi_per_ev_atom": 0.71,
  "sg": "P-6m2 (187)",
  "relative_energy_mev_per_atom": 120.8
}

=====

(6)
{
  "formula": "TbPaSi4",
  "functional": "PBE",
  "state": "relaxed",
  "lattice": [[0.0000, 3.7514, 3.7514], [3.7514, 0.0000, 3.7514], [3.7514, 3.7514, 0.0000]],
  "species": ["Tb", "Pa", "Si", "Si", "Si", "Si"],
  "frac_coords": [[0.0000, 0.0000, 0.0000], [0.7500, 0.7500, 0.7500], [0.3728, 0.3728, 0.3728], [0.3728, 0.3728, 0.8815], [0.3728, 0.8815, 0.3728], [0.8815, 0.3728, 0.3728]],
  "e_form_raw_ev_per_fu": -1.6,
  "dos_at_fermi_per_ev_atom": 0.85,
  "sg": "F-43m (216)",
  "relative_energy_mev_per_atom": 272.7
}

=====

(7)
{
  "formula": "Ce2HoErBi4",
  "functional": "PBE",
  "state": "relaxed",
  "lattice": [[7.8345, 0.0000, 0.0000], [0.0000, 4.5320, 0.0000], [-2.6221, 0.0000, 7.4002]],
  "species": ["Ce", "Ce", "Ho", "Er", "Bi", "Bi", "Bi", "Bi"],
  "frac_coords": [[0.0000, 0.0000, 0.0000], [0.0000, 0.5000, 0.5000], [0.5000, 0.0000, 0.5000], [0.5000, 0.5000, 0.0000], [0.2584, 0.5000, 0.2523], [0.2587, 0.0000, 0.7534], [0.7413, 0.0000, 0.2466], [0.7416, 0.5000, 0.7477]],
  "formation_enthalpy_0k_mev_per_atom": -809,
  "dos_at_fermi_per_ev_atom": 1.74,
  "sg": "P2/m (10)"
}

=====

(8)
{
  "formula": "TlAsIr2",
  "functional": "PBE",
  "state": "relaxed",
  "lattice": [[3.0417, 0.0000, 0.0000], [0.0000, 3.0417, 0.0000], [0.0000, 0.0000, 7.3554]],
  "species": ["Tl", "As", "Ir", "Ir"],
  "frac_coords": [[0.0000, 0.0000, 0.0000], [0.0000, 0.0000, 0.5000], [0.5000, 0.5000, 0.2920], [0.5000, 0.5000, 0.7080]],
  "formation_enthalpy_0k_mev_per_atom": 344,
  "dos_at_fermi_per_ev_atom": 0.49,
  "sg": "P4/mmm (123)",
  "relative_energy_mev_per_atom": 100.7
}

=====

(9)
{
  "formula": "Zn6Cu5Pd",
  "functional": "PBE",
  "state": "relaxed",
  "lattice": [[1.9300, -5.8032, 0.0000], [1.9300, 5.8032, 0.0000], [-0.1100, 0.0000, 7.1490]],
  "species": ["Zn", "Zn", "Zn", "Zn", "Zn", "Zn", "Cu", "Cu", "Cu", "Cu", "Cu", "Pd"],
  "frac_coords": [[0.0014, 0.0014, 0.2559], [0.3320, 0.6667, 0.2527], [0.3333, 0.6680, 0.7473], [0.6667, 0.3320, 0.2527], [0.6680, 0.3333, 0.7473], [0.9986, 0.9986, 0.7441], [0.1684, 0.8316, 0.5000], [0.1711, 0.8289, 0.0000], [0.5000, 0.5000, 0.5000], [0.8289, 0.1711, 0.0000], [0.8316, 0.1684, 0.5000], [0.5000, 0.5000, 0.0000]],
  "formation_enthalpy_0k_mev_per_atom": -160,
  "dos_at_fermi_per_ev_atom": 0.31,
  "sg": "C2/m (12)"
}

=====

(10)
{
  "formula": "ZrPt3Rh4",
  "functional": "PBE",
  "state": "relaxed",
  "lattice": [[-1.4118, 3.5501, 6.6110], [1.4118, -3.5501, 6.6110], [1.4118, 3.5501, -6.6110]],
  "species": ["Zr", "Pt", "Pt", "Pt", "Rh", "Rh", "Rh", "Rh"],
  "frac_coords": [[0.0000, 0.0000, 0.0000], [0.1765, 0.6765, 0.5000], [0.5000, 0.5000, 0.0000], [0.8235, 0.3235, 0.5000], [0.1682, 0.8532, 0.3150], [0.4617, 0.1468, 0.3150], [0.5383, 0.8532, 0.6850], [0.8318, 0.1468, 0.6850]],
  "formation_enthalpy_0k_mev_per_atom": -37,
  "dos_at_fermi_per_ev_atom": 1.35,
  "sg": "Immm (71)"
}

=====

(11)
{
  "formula": "Na2PrAlS4",
  "functional": "PBE",
  "state": "relaxed",
  "lattice": [[-3.7784, 4.1179, 5.5946], [3.7784, -4.1179, 5.5946], [3.7784, 4.1179, -5.5946]],
  "species": ["Na", "Na", "Na", "Na", "Pr", "Pr", "Al", "Al", "S", "S", "S", "S", "S", "S", "S", "S"],
  "frac_coords": [[0.0000, 0.0000, 0.0000], [0.5000, 0.0000, 0.0000], [0.5000, 0.0000, 0.5000], [0.5000, 0.5000, 0.5000], [0.0000, 0.5000, 0.5000], [0.5000, 0.5000, 0.0000], [0.0000, 0.0000, 0.5000], [0.0000, 0.5000, 0.0000], [0.2002, 0.2474, 0.9527], [0.2053, 0.7526, 0.4527], [0.2321, 0.2295, 0.4975], [0.2321, 0.7346, 0.0025], [0.7679, 0.2654, 0.9975], [0.7679, 0.7705, 0.5025], [0.7947, 0.2474, 0.5473], [0.7998, 0.7526, 0.0473]],
  "e_form_raw_ev_per_fu": -11.0,
  "sg": "Imma (74)"
}

=====

(12)
{
  "formula": "LaPd5Au2",
  "functional": "PBE",
  "state": "relaxed",
  "lattice": [[-2.1340, 2.1340, 7.8364], [2.1340, -2.1340, 7.8364], [2.1340, 2.1340, -7.8364]],
  "species": ["La", "Pd", "Pd", "Pd", "Pd", "Pd", "Au", "Au"],
  "frac_coords": [[0.0000, 0.0000, 0.0000], [0.1303, 0.6303, 0.5000], [0.3697, 0.8697, 0.5000], [0.5000, 0.5000, 0.0000], [0.6303, 0.1303, 0.5000], [0.8697, 0.3697, 0.5000], [0.2516, 0.2516, 0.0000], [0.7484, 0.7484, 0.0000]],
  "formation_enthalpy_0k_mev_per_atom": -435,
  "dos_at_fermi_per_ev_atom": 0.37,
  "sg": "I4/mmm (139)",
  "relative_energy_mev_per_atom": 0.0
}

=====

(13)
{
  "formula": "BaCa4Pd2",
  "functional": "PBE",
  "state": "relaxed",
  "lattice": [[-4.1450, 8.4479, 3.4443], [4.1450, -8.4479, 3.4443], [4.1450, 8.4479, -3.4443]],
  "species": ["Ba", "Ba", "Ca", "Ca", "Ca", "Ca", "Ca", "Ca", "Ca", "Ca", "Pd", "Pd", "Pd", "Pd"],
  "frac_coords": [[0.1168, 0.2500, 0.3668], [0.8832, 0.7500, 0.6332], [0.1396, 0.7775, 0.8621], [0.2847, 0.4730, 0.8266], [0.2847, 0.9581, 0.3116], [0.5129, 0.7677, 0.2452], [0.5226, 0.2677, 0.7548], [0.6464, 0.4581, 0.1734], [0.6464, 0.9730, 0.6884], [0.9153, 0.2775, 0.1379], [0.2333, 0.2333, 0.0000], [0.2333, 0.7333, 0.5000], [0.4974, 0.9832, 0.0142], [0.9690, 0.4832, 0.9858]],
  "formation_enthalpy_0k_mev_per_atom": -398,
  "dos_at_fermi_per_ev_atom": 0.63,
  "sg": "Ima2 (46)"
}

=====

(14)
{
  "formula": "ScZnSCl2",
  "functional": "PBE",
  "state": "relaxed",
  "lattice": [[4.6837, 0.0000, 0.0000], [0.0000, 4.6837, 0.0000], [0.0000, 0.0000, 4.9368]],
  "species": ["Sc", "Zn", "S", "Cl", "Cl"],
  "frac_coords": [[0.0000, 0.0000, 0.0000], [0.5000, 0.5000, 0.5000], [0.5000, 0.5000, 0.0000], [0.0000, 0.5000, 0.5000], [0.5000, 0.0000, 0.5000]],
  "e_form_raw_ev_per_fu": -3.1,
  "dos_at_fermi_per_ev_atom": 1.09,
  "sg": "P4/mmm (123)",
  "relative_energy_mev_per_atom": 424.5
}

=====

(15)
{
  "formula": "Tb3InBi",
  "functional": "PBE",
  "state": "relaxed",
  "lattice": [[6.0051, -6.9542, 0.0000], [6.0051, 6.9542, 0.0000], [-2.4559, 0.0000, 7.1428]],
  "species": ["Tb", "Tb", "Tb", "Tb", "Tb", "Tb", "Tb", "Tb", "Tb", "Tb", "Tb", "Tb", "In", "In", "In", "In", "Bi", "Bi", "Bi", "Bi"],
  "frac_coords": [[0.0620, 0.3044, 0.5694], [0.0691, 0.7062, 0.9753], [0.2938, 0.9309, 0.5247], [0.3044, 0.0620, 0.0694], [0.3330, 0.4116, 0.9905], [0.4116, 0.3330, 0.4905], [0.5884, 0.6670, 0.5095], [0.6670, 0.5884, 0.0095], [0.6956, 0.9380, 0.9306], [0.7062, 0.0691, 0.4753], [0.9309, 0.2938, 0.0247], [0.9380, 0.6956, 0.4306], [0.0045, 0.9955, 0.2500], [0.3404, 0.6596, 0.7500], [0.6596, 0.3404, 0.2500], [0.9955, 0.0045, 0.7500], [0.1920, 0.5421, 0.3189], [0.4579, 0.8080, 0.1811], [0.5421, 0.1920, 0.8189], [0.8080, 0.4579, 0.6811]],
  "formation_enthalpy_0k_mev_per_atom": -397,
  "dos_at_fermi_per_ev_atom": 1.06,
  "sg": "C2/c (15)"
}

=====

(16)
{
  "formula": "DyHo5Zn6",
  "functional": "PBE",
  "state": "relaxed",
  "lattice": [[2.5101, -7.5318, 0.0000], [2.5101, 7.5318, 0.0000], [0.0000, 0.0000, 7.1326]],
  "species": ["Dy", "Ho", "Ho", "Ho", "Ho", "Ho", "Zn", "Zn", "Zn", "Zn", "Zn", "Zn"],
  "frac_coords": [[0.0000, 0.0000, 0.0000], [0.0000, 0.0000, 0.5000], [0.3332, 0.6668, 0.0000], [0.3337, 0.6663, 0.5000], [0.6663, 0.3337, 0.5000], [0.6668, 0.3332, 0.0000], [0.1671, 0.8329, 0.2509], [0.1671, 0.8329, 0.7491], [0.5000, 0.5000, 0.2508], [0.5000, 0.5000, 0.7492], [0.8329, 0.1671, 0.2509], [0.8329, 0.1671, 0.7491]],
  "formation_enthalpy_0k_mev_per_atom": -344,
  "dos_at_fermi_per_ev_atom": 1.18,
  "sg": "Cmmm (65)"
}

=====

(17)
{
  "formula": "LiTc2Ru",
  "functional": "PBE",
  "state": "relaxed",
  "lattice": [[0.0000, 3.0113, 3.0113], [3.0113, 0.0000, 3.0113], [3.0113, 3.0113, 0.0000]],
  "species": ["Li", "Tc", "Tc", "Ru"],
  "frac_coords": [[0.0000, 0.0000, 0.0000], [0.2500, 0.2500, 0.2500], [0.5000, 0.5000, 0.5000], [0.7500, 0.7500, 0.7500]],
  "formation_enthalpy_0k_mev_per_atom": 166,
  "dos_at_fermi_per_ev_atom": 1.11,
  "sg": "F-43m (216)",
  "relative_energy_mev_per_atom": 0.0
}

=====

(18)
{
  "formula": "La5PmTe8",
  "functional": "PBE",
  "state": "relaxed",
  "lattice": [[-4.8275, 4.8275, 4.8201], [4.8275, -4.8275, 4.8201], [4.8275, 4.8275, -4.8201]],
  "species": ["La", "La", "La", "La", "La", "Pm", "Te", "Te", "Te", "Te", "Te", "Te", "Te", "Te"],
  "frac_coords": [[0.0000, 0.0000, 0.0000], [0.2475, 0.1246, 0.6218], [0.3744, 0.7525, 0.8772], [0.5028, 0.6256, 0.3782], [0.8754, 0.4972, 0.1228], [0.7500, 0.2500, 0.5000], [0.1222, 0.3722, 0.8973], [0.1237, 0.3747, 0.4034], [0.2797, 0.8763, 0.2510], [0.4749, 0.2249, 0.1027], [0.6253, 0.0287, 0.7490], [0.6278, 0.5251, 0.7500], [0.7751, 0.8778, 0.2500], [0.9713, 0.7203, 0.5966]],
  "e_form_raw_ev_per_fu": -22.0,
  "dos_at_fermi_per_ev_atom": 0.83,
  "sg": "I-4 (82)"
}

=====

(19)
{
  "formula": "TbCe4Sm3Se8",
  "functional": "PBE",
  "state": "relaxed",
  "lattice": [[4.1681, 2.4065, 6.8621], [-4.1681, 2.4065, 6.8621], [0.0000, -4.8129, 6.8621]],
  "species": ["Tb", "Ce", "Ce", "Ce", "Ce", "Sm", "Sm", "Sm", "Se", "Se", "Se", "Se", "Se", "Se", "Se", "Se"],
  "frac_coords": [[0.0000, 0.0000, 0.0000], [0.0000, 0.0000, 0.5000], [0.0000, 0.5000, 0.0000], [0.5000, 0.0000, 0.0000], [0.5000, 0.5000, 0.5000], [0.0000, 0.5000, 0.5000], [0.5000, 0.0000, 0.5000], [0.5000, 0.5000, 0.0000], [0.2464, 0.2464, 0.7516], [0.2464, 0.7516, 0.2464], [0.2484, 0.7536, 0.7536], [0.2510, 0.2510, 0.2510], [0.7490, 0.7490, 0.7490], [0.7516, 0.2464, 0.2464], [0.7536, 0.2484, 0.7536], [0.7536, 0.7536, 0.2484]],
  "e_form_raw_ev_per_fu": -29.1,
  "dos_at_fermi_per_ev_atom": 1.63,
  "sg": "R-3m (166)"
}

=====

(20)
{
  "formula": "Cr2FeCu",
  "functional": "PBE",
  "state": "relaxed",
  "lattice": [[3.0408, 0.0000, 0.0000], [0.0000, 3.0408, 0.0000], [0.0000, 0.0000, 5.1222]],
  "species": ["Cr", "Cr", "Fe", "Cu"],
  "frac_coords": [[0.0000, 0.0000, 0.2167], [0.0000, 0.0000, 0.7833], [0.5000, 0.5000, 0.0000], [0.5000, 0.5000, 0.5000]],
  "formation_enthalpy_0k_mev_per_atom": 343,
  "dos_at_fermi_per_ev_atom": 1.39,
  "sg": "P4/mmm (123)",
  "relative_energy_mev_per_atom": 205.6
}

=====

(21)
{
  "formula": "TcPtW2",
  "functional": "PBE",
  "state": "relaxed",
  "lattice": [[2.7894, 0.0000, 0.0000], [0.0000, 3.9569, 0.0000], [0.0000, 0.0000, 5.6781]],
  "species": ["Tc", "Pt", "W", "W"],
  "frac_coords": [[0.0000, 0.0000, 0.0000], [0.5000, 0.5000, 0.7306], [0.0000, 0.0000, 0.4768], [0.5000, 0.5000, 0.2167]],
  "formation_enthalpy_0k_mev_per_atom": 33,
  "dos_at_fermi_per_ev_atom": 1.09,
  "sg": "Pmm2 (25)",
  "relative_energy_mev_per_atom": 166.1
}

=====

(22)
{
  "formula": "Ta2AgC2",
  "functional": "PBE",
  "state": "relaxed",
  "lattice": [[-2.1513, 2.1513, 4.1075], [2.1513, -2.1513, 4.1075], [2.1513, 2.1513, -4.1075]],
  "species": ["Ta", "Ta", "Ag", "C", "C"],
  "frac_coords": [[0.2500, 0.7500, 0.5000], [0.7500, 0.2500, 0.5000], [0.0000, 0.0000, 0.0000], [0.2802, 0.2802, 0.0000], [0.7198, 0.7198, 0.0000]],
  "formation_enthalpy_0k_mev_per_atom": 244,
  "dos_at_fermi_per_ev_atom": 0.47,
  "sg": "I4/mmm (139)",
  "relative_energy_mev_per_atom": 0.0
}

=====

(23)
{
  "formula": "RbSbIr2",
  "functional": "PBE",
  "state": "relaxed",
  "lattice": [[-3.9357, 3.9357, 3.3596], [3.9357, -3.9357, 3.3596], [3.9357, 3.9357, -3.3596]],
  "species": ["Rb", "Rb", "Sb", "Sb", "Ir", "Ir", "Ir", "Ir"],
  "frac_coords": [[0.0000, 0.0000, 0.0000], [0.7500, 0.2500, 0.5000], [0.2500, 0.7500, 0.5000], [0.5000, 0.5000, 0.0000], [0.2053, 0.6250, 0.0803], [0.3750, 0.4553, 0.5803], [0.5447, 0.1250, 0.9197], [0.8750, 0.7947, 0.4197]],
  "e_form_raw_ev_per_fu": 3.4,
  "dos_at_fermi_per_ev_atom": 0.14,
  "sg": "I-42d (122)",
  "relative_energy_mev_per_atom": 0.0
}

=====

no.,total moment (μB/f.u.)
1,10.1
2,0.0
3,0.0
4,0.0
5,0.2
6,0.0
7,1.7
8,0.0
9,0.0
10,0.0
11,0.0
12,0.0
13,0.0
14,0.9
15,0.0
16,0.0
17,0.0
18,0.0
19,3.9
20,1.1
21,0.0
22,0.0
23,0.0